[1]
Density functional theory data (GGA-PBE) for Dy2SnS6 after structural relaxation.

Results
* D(E_F): 7.79 states/eV per cell
* magnetization: 1.57 μB per formula unit
* space group: P2_1/c, No. 14
* uncorrected formation energy: -1.030 eV per atom

Unit cell a=6.622 b=7.131 c=8.545 alpha=90.00 beta=95.40 gamma=90.00
Fractional positions:
Dy: 0.465 0.128 0.266
S: 0.181 0.330 0.075
Dy: 0.535 0.872 0.734
Dy: 0.965 0.372 0.766
Sn: 0.000 0.000 0.500
S: 0.680 0.172 0.950
S: 0.332 0.526 0.723
S: 0.668 0.474 0.277
S: 0.180 0.328 0.450
S: 0.319 0.830 0.425
Sn: 0.500 0.500 0.000
S: 0.681 0.170 0.575
S: 0.168 0.026 0.777
S: 0.819 0.670 0.925
S: 0.320 0.828 0.050
S: 0.832 0.974 0.223
Dy: 0.035 0.628 0.234
S: 0.820 0.672 0.550


[2]
Density functional theory data (GGA-PBE) for Dy2SnS5 after structural relaxation.

Results
* offset from the most stable computed form: 0.65 eV per formula unit
* magnetization: 0.00 μB per formula unit
* space group: Cmcm, No. 63
* uncorrected formation energy: -1.336 eV per atom

Unit cell a=5.236 b=7.155 c=12.860 alpha=90.00 beta=90.00 gamma=111.46
Fractional positions:
Dy: 0.151 0.302 0.933
S: 0.730 0.460 0.250
S: 0.699 0.399 0.909
Sn: 0.174 0.348 0.250
S: 0.955 0.910 0.890
S: 0.301 0.601 0.409
S: 0.955 0.910 0.610
S: 0.270 0.540 0.750
Dy: 0.849 0.698 0.433
S: 0.301 0.601 0.091
S: 0.699 0.399 0.591
S: 0.045 0.090 0.110
Dy: 0.151 0.302 0.567
S: 0.045 0.090 0.390
Dy: 0.849 0.698 0.067
Sn: 0.826 0.652 0.750